No. 1
First-principles (PBE) data for a relaxed Dy4AgIr crystal, as listed in the Alexandria database.

abc: 4.8919 4.8928 7.0332
angles: 89.95 89.97 90.00
Atoms (fractional coordinates):
Dy 0.5011 0.9969 0.2655
Ir 0.0013 0.9973 0.4981
Dy 0.0011 0.4969 0.2656
Dy 0.0015 0.4977 0.7307
Dy 0.5015 0.9977 0.7307
Ag 0.5013 0.4973 0.9982

Values from the calculation:
ΔE_f	-0.33	eV per atom
V	28.06	Å³/atom
space-group type	P4/mmm (123)
DOS(E_F)	1.29	states/eV per atom
uncorrected energy	-32.1	eV per cell


No. 2
First-principles (PBE) data for a relaxed Dy6Ag5Ir crystal, as listed in the Alexandria database.

abc: 5.0651 7.2377 8.0419
angles: 90.00 71.64 90.00
Atoms (fractional coordinates):
Ag 0.0000 0.5000 0.0000
Dy 0.5000 0.7662 0.0000
Dy 0.1581 0.2429 0.6838
Dy 0.8419 0.2429 0.3162
Dy 0.1581 0.7571 0.6838
Ir 0.0000 0.0000 0.0000
Ag 0.3230 0.0000 0.3541
Dy 0.5000 0.2338 0.0000
Ag 0.6770 0.0000 0.6459
Ag 0.3331 0.5000 0.3337
Dy 0.8419 0.7571 0.3162
Ag 0.6669 0.5000 0.6663

Values from the calculation:
ΔE_f	-0.43	eV per atom
V	23.32	Å³/atom
space-group type	Cmmm (65)
DOS(E_F)	0.65	states/eV per atom
uncorrected energy	-55.9	eV per cell


No. 3
First-principles (PBE) data for a relaxed Dy4AgIr3 crystal, as listed in the Alexandria database.

abc: 4.9022 4.9022 8.5147
angles: 73.27 73.27 60.00
Atoms (fractional coordinates):
Ir 0.7487 0.7487 0.7538
Ag 0.0000 0.0000 0.0000
Ir 0.2513 0.2513 0.2462
Dy 0.3786 0.3786 0.8643
Dy 0.1279 0.1279 0.6164
Dy 0.6214 0.6214 0.1357
Ir 0.5000 0.5000 0.5000
Dy 0.8721 0.8721 0.3836

Values from the calculation:
ΔE_f	-0.73	eV per atom
V	20.89	Å³/atom
space-group type	R-3m (166)
DOS(E_F)	0.55	states/eV per atom
uncorrected energy	-53.7	eV per cell


No. 4
First-principles (PBE) data for a relaxed Dy8Ag2Ir crystal, as listed in the Alexandria database.

abc: 5.1944 6.8166 9.1317
angles: 106.54 106.52 90.00
Atoms (fractional coordinates):
Ir 0.5000 0.0000 0.0000
Ag 0.8168 0.2805 0.6335
Dy 0.0274 0.7914 0.0547
Dy 0.6597 0.9722 0.3193
Dy 0.7989 0.6875 0.5978
Dy 0.9726 0.2086 0.9453
Dy 0.3403 0.0278 0.6807
Ag 0.1832 0.7195 0.3665
Dy 0.5896 0.4326 0.1791
Dy 0.2011 0.3125 0.4022
Dy 0.4104 0.5674 0.8209

Values from the calculation:
ΔE_f	-0.28	eV per atom
V	26.91	Å³/atom
space-group type	C2/m (12)
DOS(E_F)	0.89	states/eV per atom
uncorrected energy	-54.5	eV per cell


No. 5
First-principles (PBE) data for a relaxed Dy5Ag4Ir crystal, as listed in the Alexandria database.

abc: 3.5693 3.5693 18.2316
angles: 90.00 90.00 90.00
Atoms (fractional coordinates):
Ir 0.0000 0.0000 0.0000
Dy 0.5000 0.5000 0.7048
Dy 0.5000 0.5000 0.2952
Ag 0.0000 0.0000 0.8045
Dy 0.5000 0.5000 0.5000
Dy 0.5000 0.5000 0.0883
Ag 0.0000 0.0000 0.1955
Ag 0.0000 0.0000 0.3980
Dy 0.5000 0.5000 0.9117
Ag 0.0000 0.0000 0.6020

Values from the calculation:
ΔE_f	-0.43	eV per atom
V	23.23	Å³/atom
space-group type	P4/mmm (123)
DOS(E_F)	0.69	states/eV per atom
uncorrected energy	-47.6	eV per cell


No. 6
First-principles (PBE) data for a relaxed Dy2Ag2Ir crystal, as listed in the Alexandria database.

abc: 5.7772 6.4320 7.6158
angles: 114.98 112.29 90.00
Atoms (fractional coordinates):
Ir 0.2500 0.5000 0.0000
Ir 0.7500 0.5000 0.0000
Ag 0.9076 0.7509 0.8153
Ag 0.4076 0.0644 0.8153
Dy 0.3413 0.5394 0.6826
Ag 0.5924 0.9356 0.1847
Dy 0.6587 0.4606 0.3174
Dy 0.1587 0.8568 0.3174
Dy 0.8413 0.1432 0.6826
Ag 0.0924 0.2491 0.1847

Values from the calculation:
ΔE_f	-0.31	eV per atom
V	23.30	Å³/atom
space-group type	Ibam (72)
DOS(E_F)	0.68	states/eV per atom
uncorrected energy	-50.6	eV per cell


No. 7
First-principles (PBE) data for a relaxed Dy7AgIr4 crystal, as listed in the Alexandria database.

abc: 5.2699 8.4572 7.3609
angles: 76.66 69.02 71.85
Atoms (fractional coordinates):
Ir 0.7051 0.6584 0.9314
Dy 0.0771 0.6451 0.2008
Dy 0.3285 0.6189 0.7240
Ir 0.2949 0.3416 0.0686
Dy 0.9229 0.3549 0.7992
Dy 0.7881 0.8731 0.5508
Dy 0.6715 0.3811 0.2760
Ir 0.5686 0.2181 0.6448
Ag 0.0000 0.0000 0.0000
Dy 0.2119 0.1269 0.4492
Ir 0.4314 0.7819 0.3552
Dy 0.5000 0.0000 0.0000

Values from the calculation:
ΔE_f	-0.52	eV per atom
V	24.04	Å³/atom
space-group type	C2/m (12)
DOS(E_F)	0.65	states/eV per atom
uncorrected energy	-76.7	eV per cell


No. 8
First-principles (PBE) data for a relaxed Dy4AgIr crystal, as listed in the Alexandria database.

abc: 9.5410 9.5410 9.5410
angles: 60.00 60.00 60.00
Atoms (fractional coordinates):
Dy 0.9392 0.9392 0.5608
Dy 0.9392 0.5608 0.9392
Dy 0.9392 0.5608 0.5608
Ir 0.1775 0.6075 0.6075
Ag 0.1681 0.1681 0.1681
Dy 0.1871 0.1871 0.8129
Ag 0.1681 0.1681 0.4957
Dy 0.5608 0.5608 0.9392
Dy 0.8129 0.1871 0.1871
Dy 0.3981 0.8058 0.3981
Ir 0.6075 0.6075 0.1775
Dy 0.8129 0.1871 0.8129
Dy 0.3981 0.3981 0.3981
Dy 0.8058 0.3981 0.3981
Dy 0.3981 0.3981 0.8058
Dy 0.1871 0.8129 0.8129
Ag 0.1681 0.4957 0.1681
Dy 0.8129 0.8129 0.1871
Ir 0.6075 0.6075 0.6075
Dy 0.5608 0.9392 0.9392
Dy 0.1871 0.8129 0.1871
Dy 0.5608 0.9392 0.5608
Ag 0.4957 0.1681 0.1681
Ir 0.6075 0.1775 0.6075

Values from the calculation:
ΔE_f	-0.50	eV per atom
V	25.59	Å³/atom
space-group type	F-43m (216)
DOS(E_F)	1.00	states/eV per atom
uncorrected energy	-132.4	eV per cell


No. 9
First-principles (PBE) data for a relaxed DyAgIr crystal, as listed in the Alexandria database.

abc: 3.5695 3.5695 5.3029
angles: 109.67 109.67 90.00
Atoms (fractional coordinates):
Ir 0.6139 0.6139 0.2279
Ag 0.2756 0.2756 0.5512
Dy 0.9605 0.9605 0.9209

Values from the calculation:
ΔE_f	-0.27	eV per atom
V	19.81	Å³/atom
space-group type	I4mm (107)
DOS(E_F)	0.87	states/eV per atom
uncorrected energy	-17.1	eV per cell


No. 10
First-principles (PBE) data for a relaxed DyAgIr crystal, as listed in the Alexandria database.

abc: 5.2951 7.2006 7.2007
angles: 80.84 71.16 71.16
Atoms (fractional coordinates):
Dy 0.9620 0.5055 0.2555
Ag 0.6006 0.8039 0.5539
Dy 0.0380 0.4945 0.7445
Ag 0.6006 0.3040 0.0540
Ir 0.3817 0.6015 0.3515
Ir 0.3817 0.1015 0.8515
Ag 0.3994 0.1961 0.4461
Dy 0.0380 0.9945 0.2445
Ir 0.6183 0.8985 0.1485
Dy 0.9620 0.0055 0.7555
Ir 0.6183 0.3985 0.6485
Ag 0.3994 0.6960 0.9460

Values from the calculation:
ΔE_f	-0.32	eV per atom
V	20.45	Å³/atom
space-group type	P2_1/m (11)
DOS(E_F)	0.78	states/eV per atom
uncorrected energy	-69.0	eV per cell


No. 11
First-principles (PBE) data for a relaxed Dy3AgIr2 crystal, as listed in the Alexandria database.

abc: 3.4503 3.4503 10.8978
angles: 90.00 90.00 90.00
Atoms (fractional coordinates):
Ir 0.5000 0.5000 0.8380
Dy 0.0000 0.0000 0.3087
Ir 0.5000 0.5000 0.1620
Dy 0.0000 0.0000 0.6913
Ag 0.5000 0.5000 0.5000
Dy 0.0000 0.0000 0.0000

Values from the calculation:
ΔE_f	-0.68	eV per atom
V	21.62	Å³/atom
space-group type	P4/mmm (123)
DOS(E_F)	0.81	states/eV per atom
uncorrected energy	-38.5	eV per cell


No. 12
First-principles (PBE) data for a relaxed Dy8AgIr5 crystal, as listed in the Alexandria database.

abc: 7.4987 7.4987 7.4987
angles: 109.25 109.91 109.25
Atoms (fractional coordinates):
Ir 0.5000 0.0000 0.5000
Ir 0.3667 0.1148 0.9887
Ir 0.7482 0.6221 0.6333
Ir 0.8739 0.8852 0.2518
Dy 0.1208 0.7565 0.0139
Dy 0.5077 0.6269 0.2618
Dy 0.7382 0.2459 0.3651
Dy 0.6348 0.3731 0.8807
Dy 0.2574 0.2435 0.3643
Dy 0.1193 0.7541 0.4923
Dy 0.6357 0.8931 0.8792
Ag 0.2500 0.5000 0.7500
Ir 0.0113 0.3779 0.1261
Dy 0.9861 0.1069 0.7426

Values from the calculation:
ΔE_f	-0.70	eV per atom
V	23.18	Å³/atom
space-group type	I-4 (82)
DOS(E_F)	0.23	states/eV per atom
uncorrected energy	-93.7	eV per cell


No. 13
First-principles (PBE) data for a relaxed Dy5AgIr4 crystal, as listed in the Alexandria database.

abc: 3.4419 3.4419 17.7479
angles: 90.00 90.00 90.00
Atoms (fractional coordinates):
Dy 0.5000 0.5000 0.1175
Ir 0.0000 0.0000 0.4031
Ir 0.0000 0.0000 0.2073
Dy 0.5000 0.5000 0.5000
Ag 0.0000 0.0000 0.0000
Dy 0.5000 0.5000 0.6924
Dy 0.5000 0.5000 0.8825
Dy 0.5000 0.5000 0.3076
Ir 0.0000 0.0000 0.5969
Ir 0.0000 0.0000 0.7927

Values from the calculation:
ΔE_f	-0.73	eV per atom
V	21.03	Å³/atom
space-group type	P4/mmm (123)
DOS(E_F)	0.81	states/eV per atom
uncorrected energy	-68.6	eV per cell


No. 14
First-principles (PBE) data for a relaxed LiDyAgIr crystal, as listed in the Alexandria database.

abc: 4.7208 4.7208 4.7208
angles: 60.00 60.00 60.00
Atoms (fractional coordinates):
Li 0.0000 0.0000 0.0000
Ir 0.2500 0.2500 0.2500
Dy 0.5000 0.5000 0.5000
Ag 0.7500 0.7500 0.7500

Values from the calculation:
ΔE_f	-0.33	eV per atom
V	18.60	Å³/atom
space-group type	F-43m (216)
DOS(E_F)	0.23	states/eV per atom
uncorrected energy	-19.5	eV per cell


No. 15
First-principles (PBE) data for a relaxed DyLuAgIr crystal, as listed in the Alexandria database.

abc: 4.9219 4.9219 4.9219
angles: 60.00 60.00 60.00
Atoms (fractional coordinates):
Dy 0.0000 0.0000 0.0000
Ag 0.2500 0.2500 0.2500
Ir 0.7500 0.7500 0.7500
Lu 0.5000 0.5000 0.5000

Values from the calculation:
ΔE_f	-0.64	eV per atom
V	21.08	Å³/atom
space-group type	F-43m (216)
DOS(E_F)	0.68	states/eV per atom
uncorrected energy	-23.4	eV per cell


No. 16
First-principles (PBE) data for a relaxed NdDyAgIr crystal, as listed in the Alexandria database.

abc: 5.0579 5.0579 5.0579
angles: 60.00 60.00 60.00
Atoms (fractional coordinates):
Ag 0.2500 0.2500 0.2500
Ir 0.7500 0.7500 0.7500
Dy 0.0000 0.0000 0.0000
Nd 0.5000 0.5000 0.5000

Values from the calculation:
ΔE_f	-0.51	eV per atom
V	22.87	Å³/atom
space-group type	F-43m (216)
DOS(E_F)	0.72	states/eV per atom
uncorrected energy	-23.1	eV per cell


No. 17
First-principles (PBE) data for a relaxed Dy4AgIr2Pd crystal, as listed in the Alexandria database.

abc: 4.9348 4.9348 8.5473
angles: 73.22 73.22 60.00
Atoms (fractional coordinates):
Ag 0.0000 0.0000 0.0000
Dy 0.3770 0.3770 0.8689
Dy 0.6230 0.6230 0.1311
Pd 0.5000 0.5000 0.5000
Ir 0.7493 0.7493 0.7522
Ir 0.2507 0.2507 0.2478
Dy 0.8732 0.8732 0.3805
Dy 0.1268 0.1268 0.6195

Values from the calculation:
ΔE_f	-0.75	eV per atom
V	21.24	Å³/atom
space-group type	R-3m (166)
DOS(E_F)	0.67	states/eV per atom
uncorrected energy	-50.2	eV per cell


No. 18
First-principles (PBE) data for a relaxed DyAgSnIr crystal, as listed in the Alexandria database.

abc: 4.8329 4.8329 4.8329
angles: 60.00 60.00 60.00
Atoms (fractional coordinates):
Ag 0.5000 0.5000 0.5000
Sn 0.2500 0.2500 0.2500
Ir 0.0000 0.0000 0.0000
Dy 0.7500 0.7500 0.7500

Values from the calculation:
ΔE_f	-0.43	eV per atom
V	19.96	Å³/atom
space-group type	F-43m (216)
DOS(E_F)	0.54	states/eV per atom
uncorrected energy	-22.0	eV per cell


No. 19
First-principles (PBE) data for a relaxed SrDyAgIr crystal, as listed in the Alexandria database.

abc: 5.0968 5.0968 5.0968
angles: 60.00 60.00 60.00
Atoms (fractional coordinates):
Sr 0.0000 0.0000 0.0000
Ag 0.7500 0.7500 0.7500
Dy 0.5000 0.5000 0.5000
Ir 0.2500 0.2500 0.2500

Values from the calculation:
ΔE_f	-0.30	eV per atom
V	23.41	Å³/atom
space-group type	F-43m (216)
DOS(E_F)	0.61	states/eV per atom
uncorrected energy	-19.2	eV per cell


No. 20
First-principles (PBE) data for a relaxed TbDyAgIr crystal, as listed in the Alexandria database.

abc: 4.9827 4.9827 4.9827
angles: 60.00 60.00 60.00
Atoms (fractional coordinates):
Dy 0.5000 0.5000 0.5000
Ir 0.7500 0.7500 0.7500
Tb 0.0000 0.0000 0.0000
Ag 0.2500 0.2500 0.2500

Values from the calculation:
ΔE_f	-0.59	eV per atom
V	21.87	Å³/atom
space-group type	F-43m (216)
DOS(E_F)	0.78	states/eV per atom
uncorrected energy	-23.3	eV per cell


No. 21
First-principles (PBE) data for a relaxed DyYAgIr crystal, as listed in the Alexandria database.

abc: 4.9785 4.9785 4.9785
angles: 60.00 60.00 60.00
Atoms (fractional coordinates):
Ir 0.2500 0.2500 0.2500
Dy 0.5000 0.5000 0.5000
Y 0.0000 0.0000 0.0000
Ag 0.7500 0.7500 0.7500

Values from the calculation:
ΔE_f	-0.59	eV per atom
V	21.81	Å³/atom
space-group type	F-43m (216)
DOS(E_F)	0.83	states/eV per atom
uncorrected energy	-25.2	eV per cell


No. 22
First-principles (PBE) data for a relaxed DyZnAgIr crystal, as listed in the Alexandria database.

abc: 4.7082 4.7082 4.7082
angles: 60.00 60.00 60.00
Atoms (fractional coordinates):
Ag 0.2500 0.2500 0.2500
Ir 0.7500 0.7500 0.7500
Dy 0.0000 0.0000 0.0000
Zn 0.5000 0.5000 0.5000

Values from the calculation:
ΔE_f	-0.33	eV per atom
V	18.45	Å³/atom
space-group type	F-43m (216)
DOS(E_F)	0.28	states/eV per atom
uncorrected energy	-18.9	eV per cell


No. 23
First-principles (PBE) data for a relaxed DyZrAgIr crystal, as listed in the Alexandria database.

abc: 4.8651 4.8651 4.8651
angles: 60.00 60.00 60.00
Atoms (fractional coordinates):
Ag 0.7500 0.7500 0.7500
Dy 0.5000 0.5000 0.5000
Ir 0.2500 0.2500 0.2500
Zr 0.0000 0.0000 0.0000

Values from the calculation:
ΔE_f	-0.46	eV per atom
V	20.36	Å³/atom
space-group type	F-43m (216)
DOS(E_F)	0.86	states/eV per atom
uncorrected energy	-26.7	eV per cell


No. 24
First-principles (PBE) data for a relaxed KDy2AgO4 crystal, as listed in the Alexandria database.

abc: 3.5612 6.2585 12.3289
angles: 90.00 90.00 106.53
Atoms (fractional coordinates):
O 0.2474 0.4948 0.0807
K 0.9349 0.8698 0.2500
O 0.7526 0.5052 0.5807
O 0.0000 0.0000 0.0000
Ag 0.2285 0.4569 0.2500
Dy 0.3675 0.7350 0.5625
Dy 0.6325 0.2650 0.4375
Ag 0.7715 0.5431 0.7500
O 0.4133 0.8266 0.7500
O 0.5867 0.1734 0.2500
Dy 0.3675 0.7350 0.9375
O 0.7526 0.5052 0.9193
Dy 0.6325 0.2650 0.0625
O 0.2474 0.4948 0.4193
O 0.0000 0.0000 0.5000
K 0.0651 0.1302 0.7500

Values from the calculation:
V	16.46	Å³/atom
E_form (uncorrected)	-2.34	eV per atom
space-group type	Cmcm (63)
DOS(E_F)	0.00	states/eV per atom
uncorrected energy	-103.4	eV per cell